! Ca2SnPbS4 PBE relaxed; values from VASP
&SYSTEM
  ibrav = 0, nat = 8, ntyp = 4
/
ATOMIC_SPECIES
S 32.06 S.upf
Ca 40.08 Ca.upf
Pb 207.20 Pb.upf
Sn 118.71 Sn.upf
CELL_PARAMETERS angstrom
-1.5092 -3.7167 -0.9158
4.4366 -0.4051 -5.6678
6.1385 -2.9931 2.0311
ATOMIC_POSITIONS angstrom
S 7.9794 -2.5497 -2.8024
Ca 2.3147 -3.3549 0.5577
S 4.9401 -4.2217 -0.2512
S 4.1258 -2.8932 -4.3013
Pb 5.2876 -1.6991 -1.8183
Ca 6.1385 -2.9931 2.0311
Sn 1.4637 -2.0609 -3.2918
S 1.0865 -4.5652 -1.7501
! uncorrected formation energy = -1282 meV/atom
! N(E_F) = 0.0000 states/eV/atom
! symmetry = No. 10